w:
Computed, not measured: an optimized crystal structure of CeSmGaIr at the PBE-GGA level of DFT.

Cell: 3.909 6.146 6.146 Å, 39.85 90.00 90.00°
Fractional positions:
Ce 0.000 0.000 0.000
Sm 0.500 0.721 0.721
Ga 0.000 0.301 0.301
Ir 0.500 0.461 0.461

Results
* D(E_F): 0.908 states/eV per atom
* space-group type: Amm2 (38)


x:
Computed, not measured: an optimized crystal structure of CeSmGaIr at the PBE-GGA level of DFT.

Cell: 5.055 5.055 5.055 Å, 60.00 60.00 60.00°
Fractional positions:
Ce 0.000 0.000 0.000
Sm 0.500 0.500 0.500
Ga 0.250 0.250 0.250
Ir 0.750 0.750 0.750

Results
* D(E_F): 1.504 states/eV per atom
* space-group type: F-43m (216)


The structure with the greatest stability is w.